Record 1
This record from Alexandria describes a relaxed structure of CaTl3Pt8. The functional is PBE-GGA.

The energy of formation is -0.323 eV/atom. The calculated total energy comes out at -5.11 eV per atom. The calculation puts the total magnetization at 0.0 Bohr magnetons per cell.

It has space group R3m (No. 160, hexagonal axes), with a = 5.4678 Å, b = 5.4678 Å, c = 26.6811 Å, α = 90.00°, β = 90.00° and γ = 120.00°. The inequivalent atoms are Ca at (0.0000, 0.0000, 0.0000), Tl at (0.0000, 0.0000, 0.3757), Tl at (0.0000, 0.0000, 0.5002), Tl at (0.0000, 0.0000, 0.8750), Pt at (0.0000, 0.0000, 0.1877), Pt at (0.0000, 0.0000, 0.6877), Pt at (0.0003, 0.5001, 0.4372) and Pt at (0.0006, 0.5003, 0.9382).

Record 2
This record from Alexandria describes a relaxed structure of Zn3Cu4Au2. The functional is PBE-GGA.

The energy of formation is -0.038 eV/atom. The calculated total energy comes out at -3.01 eV per atom. The calculation puts the total magnetization at 0.0 Bohr magnetons per cell.

It has space group C2/c (No. 15), with a = 11.371 Å, b = 9.794 Å, c = 4.774 Å, α = 90.00°, β = 95.36° and γ = 90.00°. The inequivalent atoms are Zn at (0.000, 0.004, 0.250), Zn at (0.099, 0.400, 0.413), Cu at (0.053, 0.227, 0.007), Cu at (0.164, 0.156, 0.564) and Au at (0.236, 0.392, 0.909).

Record 3
This record from Alexandria describes a relaxed structure of LiSmAg2. The functional is PBE-GGA.

The energy of formation is -0.146 eV/atom. The calculated total energy comes out at -3.23 eV per atom. The calculation puts the total magnetization at 0.0 Bohr magnetons per cell.

It has space group P4/mmm (No. 123), with a = 5.085 Å, b = 5.085 Å, c = 3.456 Å, α = 90.00°, β = 90.00° and γ = 90.00°. The inequivalent atoms are Li at (0.000, 0.000, 0.000), Sm at (0.500, 0.500, 0.000) and Ag at (0.000, 0.500, 0.500).